A geometry-optimized CrN2Cl4 structure. Source: the Alexandria database, functional GGA-PBE.

Its space group is R-3m (166). The calculation puts the formation energy (no corrections) at 1.022 eV/atom. The total energy is -26.5 eV per cell. For the mass density, the calculation gives 2.1 Mg/m³.

a b c (Å): 14.1819 14.1819 14.1819
angles (deg): 15.50 15.50 15.50
Fractional positions:
Cr  0.0000  0.0000  0.0000
N  0.2143  0.2143  0.2143
N  0.7857  0.7857  0.7857
Cl  0.1190  0.1190  0.1190
Cl  0.3033  0.3033  0.3033
Cl  0.6967  0.6967  0.6967
Cl  0.8810  0.8810  0.8810